No. 1
Ce2PuNpN6 after structural relaxation, computed with GGA-PBE.

Summary:
- formation energy without anion corrections (eV/atom) = -1.2160
- theoretical density (g/cm3) = 9.70

Cell: 5.8148 5.9408 8.3785 Å, 90.00 90.01 90.00°
Fractional positions:
N (0.7111, 0.3136, 0.9383)
N (0.3764, 0.9524, 0.7465)
N (0.2981, 0.6954, 0.4343)
N (0.1236, 0.4524, 0.7535)
Pu (0.5000, 0.0000, 0.0000)
Ce (0.0112, 0.9513, 0.2499)
Np (0.0000, 0.5000, 0.0000)
Ce (0.4888, 0.4513, 0.2501)
Pu (0.0000, 0.5000, 0.5000)
Ce (0.5112, 0.5487, 0.7499)
N (0.2111, 0.1864, 0.4383)
N (0.8764, 0.5476, 0.2465)
N (0.6236, 0.0476, 0.2535)
N (0.7981, 0.8046, 0.9343)
N (0.7019, 0.3046, 0.5657)
N (0.2019, 0.1954, 0.0657)
N (0.7889, 0.8136, 0.5617)
Np (0.5000, 0.0000, 0.5000)
Ce (0.9888, 0.0487, 0.7501)
N (0.2889, 0.6864, 0.0617)

No. 2
Ce2Pu3NpN6 after structural relaxation, computed with GGA-PBE.

Summary:
- formation energy without anion corrections (eV/atom) = -1.2858
- theoretical density (g/cm3) = 12.14

Cell: 6.0688 6.0688 6.0629 Å, 99.61 99.61 119.97°
Fractional positions:
Ce (0.6664, 0.3336, 0.0000)
Np (0.0000, 0.0000, 0.0000)
N (0.5983, 0.9162, 0.7485)
N (0.0838, 0.4017, 0.2515)
N (0.2338, 0.2338, 0.7466)
Pu (0.1683, 0.8317, 0.5000)
N (0.9162, 0.5983, 0.7485)
Ce (0.3336, 0.6664, 0.0000)
N (0.7662, 0.7662, 0.2534)
Pu (0.5000, 0.5000, 0.5000)
Pu (0.8317, 0.1683, 0.5000)
N (0.4017, 0.0838, 0.2515)

No. 3
CePuNp2N4 after structural relaxation, computed with GGA-PBE.

Summary:
- formation energy without anion corrections (eV/atom) = -1.2081
- theoretical density (g/cm3) = 12.71

Cell: 3.4691 6.0582 6.0273 Å, 109.46 90.00 90.00°
Fractional positions:
N (0.5000, 0.7490, 0.7338)
N (0.0000, 0.2369, 0.7311)
Pu (0.0000, 0.0000, 0.0000)
Np (0.5000, 0.0000, 0.5000)
Np (0.0000, 0.5000, 0.5000)
N (0.0000, 0.7631, 0.2689)
Ce (0.5000, 0.5000, 0.0000)
N (0.5000, 0.2510, 0.2662)